Record 1
DFT (PBE) results for Cs2CdI6N after structural relaxation.

**SG**: No. 139
**Formation energy (no corrections)**: -0.293 eV/atom
**Electronic total energy**: -23.2 eV for the cell shown
**Density of states at the Fermi level**: 3.8 states/eV/f.u.

Cell: 8.0760 8.0760 8.1059 Å, 60.12 60.12 90.00°
Last column: nearest neighbours and their distance in Å.
Atoms (fractional coordinates):
Cs1 0.7500 0.2500 0.5000  12 I 4.04-4.06
Cs2 0.2500 0.7500 0.5000  12 I 4.04-4.06
I1 0.2693 0.2693 0.4614  1 N 2.65
I2 0.7307 0.7307 0.5386  1 N 2.65
I3 0.2648 0.2648 0.0000  1 N 2.69
I4 0.7352 0.7352 0.0000  1 N 2.69
I5 0.7352 0.2648 0.0000  1 N 2.69
I6 0.2648 0.7352 0.0000  1 N 2.69
N1 0.5000 0.5000 0.0000  6 I 2.65-2.69
Cd1 0.0000 0.0000 0.0000  6 I 3.02-3.10

***

Record 2
DFT (PBE) results for CsCdI2N after structural relaxation.

**Distance to the lowest polymorph of the same formula**: 0.0 meV per atom
**SG**: No. 123
**Formation energy (no corrections)**: -0.064 eV/atom
**Electronic total energy**: -13.5 eV for the cell shown

Cell: 6.3820 6.3820 4.4896 Å, 90.00 90.00 90.00°
Last column: nearest neighbours and their distance in Å.
Atoms (fractional coordinates):
Cs1 0.5000 0.5000 0.5000  8 I 3.90
I1 0.0000 0.5000 0.0000  2 Cd 3.19
I2 0.5000 0.0000 0.0000  2 Cd 3.19
N1 0.0000 0.0000 0.5000  2 Cd 2.24
Cd1 0.0000 0.0000 0.0000  2 N 2.24

***

Record 3
DFT (PBE) results for CsNaCdI4 after structural relaxation.

**SG**: No. 11
**Formation energy (no corrections)**: -1.058 eV/atom
**Electronic total energy**: -33.4 eV for the cell shown
**Density of states at the Fermi level**: 0.0 states/eV/f.u.

Cell: 7.6924 8.5440 10.5131 Å, 90.00 105.81 90.00°
Last column: nearest neighbours and their distance in Å.
Atoms (fractional coordinates):
Cs1 0.7736 0.7500 0.9451  9 I 3.98-4.36
Cs2 0.2264 0.2500 0.0549  9 I 3.98-4.36
Na1 0.8415 0.7500 0.4806  5 I 3.11-3.28
Na2 0.1585 0.2500 0.5194  5 I 3.11-3.28
Cd1 0.2298 0.7500 0.3186  4 I 2.78-2.88
Cd2 0.7702 0.2500 0.6814  4 I 2.78-2.88
I1 0.0295 0.4993 0.7129  1 Cd 2.88
I2 0.9705 0.9993 0.2871  1 Cd 2.88
I3 0.9705 0.5007 0.2871  1 Cd 2.88
I4 0.0295 0.0007 0.7129  1 Cd 2.88
I5 0.3443 0.7500 0.0874  1 Cd 2.80
I6 0.6557 0.2500 0.9126  1 Cd 2.80
I7 0.4831 0.7500 0.5645  1 Cd 2.78, 1 Na 3.11
I8 0.5169 0.2500 0.4355  1 Cd 2.78, 1 Na 3.11

***

Record 4
DFT (PBE) results for CsNaCd2I6 after structural relaxation.

**SG**: No. 15
**Formation energy (no corrections)**: -0.907 eV/atom
**Electronic total energy**: -44.7 eV for the cell shown
**Density of states at the Fermi level**: 0.0 states/eV/f.u.

Cell: 7.9828 11.7242 11.7242 Å, 93.00 80.38 80.38°
Last column: nearest neighbours and their distance in Å.
Atoms (fractional coordinates):
Cs1 0.2500 0.8700 0.1300  6 I 3.91-4.02
Cs2 0.7500 0.1300 0.8700  6 I 3.91-4.02
Na1 0.2500 0.4057 0.5943  6 I 3.13-3.43
Na2 0.7500 0.5943 0.4057  6 I 3.13-3.43
Cd1 0.3151 0.7864 0.6209  4 I 2.73-2.96
Cd2 0.1849 0.3791 0.2136  4 I 2.73-2.96
Cd3 0.6849 0.2136 0.3791  4 I 2.73-2.96
Cd4 0.8151 0.6209 0.7864  4 I 2.73-2.96
I1 0.2195 0.9517 0.8042  1 Cd 2.73
I2 0.2805 0.1958 0.0483  1 Cd 2.73
I3 0.7805 0.0483 0.1958  1 Cd 2.73
I4 0.7195 0.8042 0.9517  1 Cd 2.73
I5 0.4867 0.8241 0.4038  1 Cd 2.78
I6 0.0133 0.5962 0.1759  1 Cd 2.78
I7 0.5133 0.1759 0.5962  1 Cd 2.78
I8 0.9867 0.4038 0.8241  1 Cd 2.78
I9 0.0237 0.6767 0.5727  2 Cd 2.94-2.96
I10 0.4763 0.4273 0.3233  2 Cd 2.94-2.96
I11 0.9763 0.3233 0.4273  2 Cd 2.94-2.96
I12 0.5237 0.5727 0.6767  2 Cd 2.94-2.96

***

Record 5
DFT (PBE) results for Cs2NaCdI6 after structural relaxation.

**SG**: No. 2
**Formation energy (no corrections)**: -0.971 eV/atom
**Electronic total energy**: -23.0 eV for the cell shown
**Density of states at the Fermi level**: 14.6 states/eV/f.u.

Cell: 8.9399 8.9427 8.3572 Å, 57.51 57.53 59.90°
Last column: nearest neighbours and their distance in Å.
Atoms (fractional coordinates):
Cs1 0.5648 0.5643 0.3064  9 I 4.00-4.25
Cs2 0.0673 0.0677 0.7972  9 I 4.00-4.25
Na1 0.3162 0.3163 0.0514  6 I 3.18
Cd1 0.8161 0.8163 0.5514  6 I 3.00-3.01
I1 0.5800 0.1121 0.3013  1 Cd 3.00, 1 Na 3.18
I2 0.1119 0.0068 0.3012  1 Cd 3.00, 1 Na 3.18
I3 0.0069 0.5801 0.3013  1 Cd 3.01, 1 Na 3.18
I4 0.5204 0.6257 0.8017  1 Cd 3.00, 1 Na 3.18
I5 0.6256 0.0522 0.8017  1 Cd 3.01, 1 Na 3.18
I6 0.0522 0.5203 0.8016  1 Cd 3.00, 1 Na 3.18

***

Record 6
DFT (PBE) results for Cs2NaCdI5 after structural relaxation.

**SG**: No. 36
**Formation energy (no corrections)**: -1.166 eV/atom
**Electronic total energy**: -44.4 eV for the cell shown
**Density of states at the Fermi level**: 0.0 states/eV/f.u.

Cell: 4.7794 11.7916 15.9690 Å, 90.00 90.00 101.69°
Last column: nearest neighbours and their distance in Å.
Atoms (fractional coordinates):
Cs1 0.8696 0.7393 0.8194  6 I 3.83-4.00
Cs2 0.1337 0.2675 0.6887  7 I 3.81-4.12
Cs3 0.1304 0.2607 0.3194  6 I 3.83-4.00
Cs4 0.8663 0.7325 0.1887  7 I 3.81-4.12
Na1 0.7857 0.5714 0.5350  5 I 3.12-3.45
Na2 0.2143 0.4286 0.0350  5 I 3.12-3.45
Cd1 0.5659 0.1318 0.9277  4 I 2.80-2.90
Cd2 0.4341 0.8682 0.4277  4 I 2.80-2.90
I1 0.3479 0.6958 0.0047  1 Na 3.12
I2 0.6847 0.3694 0.8852  1 Cd 2.83
I3 0.5051 0.0103 0.7758  1 Cd 2.80
I4 0.2993 0.5987 0.6622  2 Na 3.15
I5 0.9571 0.9143 0.5253  2 Cd 2.90
I6 0.6521 0.3042 0.5047  1 Na 3.12
I7 0.3153 0.6306 0.3852  1 Cd 2.83
I8 0.4949 0.9897 0.2758  1 Cd 2.80
I9 0.7007 0.4013 0.1622  2 Na 3.15
I10 0.0429 0.0857 0.0253  2 Cd 2.90